# Y4TlPSe2

A relaxed Y4TlPSe2 crystal (PBE, Alexandria via LeMat-Bulk).

```
8
Lattice="7.243 0.000 0.000 0.000 4.064 0.000 -2.326 0.000 6.910" Properties=species:S:1:pos:R:3 pbc="T T T"
Y 1.170 0.000 1.614
Y 0.054 2.032 5.287
Y 4.862 2.032 1.622
Y 3.746 0.000 5.296
Tl -1.163 0.000 3.455
P 0.000 2.032 0.000
Se 3.621 0.000 0.000
Se 2.458 2.032 3.455
```

Its crystal system is monoclinic. The value obtained for the density of states at the Fermi level is 3.294 states/eV/cell. For the size of the total moment, the calculation gives 0.0 Bohr magnetons per cell. The raw formation energy comes out at -1.361 eV/atom.